A relaxed structure of MgAlAu2F, computed with PBE.

**Uncorrected formation energy**: -0.864 eV per atom
**Magnetic moment**: 0.00 μB per formula unit
**SG**: No. 123

a = 5.087 Å, b = 3.627 Å, c = 5.087 Å
α = 90.00°, β = 90.00°, γ = 90.00°
Atoms (fractional coordinates):
Al  0.000  0.000  0.000
F  0.000  0.500  0.000
Mg  0.500  0.500  0.500
Au  0.500  0.000  0.000
Au  0.000  0.000  0.500